[1]
A plane-wave DFT calculation with GGA-PBE was carried out for a geometry-optimized TaGaMo2 structure.

The structure in POSCAR format:
```
TaGaMo2
1.0
0.000 3.185 3.185
3.185 0.000 3.185
3.185 3.185 0.000
Ga Mo Ta
1 2 1
Direct
0.500 0.500 0.500 Ga
0.000 0.000 0.000 Mo
0.750 0.750 0.750 Mo
0.250 0.250 0.250 Ta
```

Properties
VASP energy (eV per atom): -9.07

[2]
A plane-wave DFT calculation with GGA-PBE was carried out for a geometry-optimized Ta2W structure.

The structure in POSCAR format:
```
Ta2W
1.0
3.935 2.272 6.425
-3.935 2.272 6.425
0.000 -4.543 6.425
Ta W
4 2
Direct
0.625 0.625 0.125 Ta
0.625 0.625 0.625 Ta
0.625 0.125 0.625 Ta
0.125 0.625 0.625 Ta
0.500 0.500 0.500 W
0.750 0.750 0.750 W
```

Properties
Energy above the lowest structure with this stoichiometry (meV/atom): 3894
ΔE_f (meV/atom): 3858

[3]
A plane-wave DFT calculation with GGA-PBE was carried out for a geometry-optimized TlCu3GeSe4 structure.

The structure in POSCAR format:
```
TlCu3GeSe4
1.0
6.106 0.000 0.000
0.000 6.106 0.000
0.000 0.000 6.106
Cu Ge Se Tl
3 1 4 1
Direct
0.500 0.500 0.000 Cu
0.500 0.000 0.500 Cu
0.000 0.500 0.500 Cu
0.500 0.500 0.500 Ge
0.273 0.273 0.273 Se
0.727 0.727 0.273 Se
0.727 0.273 0.727 Se
0.273 0.727 0.727 Se
0.000 0.000 0.000 Tl
```

Properties
Energy above the lowest structure with this stoichiometry (meV/atom): 103

[4]
A plane-wave DFT calculation with GGA-PBE was carried out for a geometry-optimized CsAu structure.

The structure in POSCAR format:
```
CsAu
1.0
0.000 4.022 4.022
4.022 0.000 4.022
4.022 4.022 0.000
Au Cs
1 1
Direct
0.000 0.000 0.000 Au
0.250 0.250 0.250 Cs
```

Properties
Energy above the lowest structure with this stoichiometry (meV/atom): 95

What did the fourth record say?
A plane-wave DFT calculation with GGA-PBE was carried out for a geometry-optimized CsAu structure.

The structure in POSCAR format:
```
CsAu
1.0
0.000 4.022 4.022
4.022 0.000 4.022
4.022 4.022 0.000
Au Cs
1 1
Direct
0.000 0.000 0.000 Au
0.250 0.250 0.250 Cs
```

Properties
Energy above the lowest structure with this stoichiometry (meV/atom): 95

Please write out number 4 again, unchanged.
A plane-wave DFT calculation with GGA-PBE was carried out for a geometry-optimized CsAu structure.

The structure in POSCAR format:
```
CsAu
1.0
0.000 4.022 4.022
4.022 0.000 4.022
4.022 4.022 0.000
Au Cs
1 1
Direct
0.000 0.000 0.000 Au
0.250 0.250 0.250 Cs
```

Properties
Energy above the lowest structure with this stoichiometry (meV/atom): 95